Entry 1:
A plane-wave DFT calculation with GGA-PBE was carried out for a relaxed CaPtSe crystal.

Structure (POSCAR):
```
CaPtSe
1.0
4.147 0.000 0.000
0.000 7.834 0.000
-0.003 0.000 4.615
Ca Pt Se
2 2 2
direct
0.001 0.250 0.207
0.999 0.750 0.793
0.500 0.000 0.000
0.500 0.500 0.000
0.499 0.750 0.316
0.501 0.250 0.684
```

Calculated values
The density of states at the Fermi level is 0.0000 states/eV/atom. As for the energy relative to the elements, uncorrected: -1098 meV/atom.

---

Entry 2:
A plane-wave DFT calculation with GGA-PBE was carried out for a relaxed Co4Ir3Os4 crystal.

Structure (POSCAR):
```
Co4Ir3Os4
1.0
-1.347 1.851 14.519
1.347 -1.851 14.519
1.347 1.851 -14.519
Co Ir Os
4 3 4
direct
0.045 0.045 0.000
0.318 0.318 0.000
0.682 0.682 0.000
0.955 0.955 0.000
0.136 0.136 0.000
0.500 0.500 0.000
0.864 0.864 0.000
0.227 0.227 0.000
0.410 0.410 0.000
0.590 0.590 0.000
0.773 0.773 0.000
```

Calculated values
The density of states at the Fermi level is 1.1736 states/eV/atom. The formation energy from the elements is 67 meV/atom.